(1)
This record from Alexandria via LeMat-Bulk describes an optimized crystal structure of Dy2ErZr. The functional is PBE-GGA.

Lattice parameters (Å, degrees): 3.453 3.453 11.310 81.22 81.22 60.00
Positions (direct):
Dy (0.079, 0.079, 0.763)
Dy (0.254, 0.254, 0.238)
Er (0.500, 0.500, 0.500)
Zr (0.667, 0.667, 0.000)

Summary:
Volume (A^3/atom): 28.74
Symmetry: R3m, No. 160
ΔE_f (eV per atom): 0.074
E above lowest polymorph (eV per atom): 0.0000
Density of states at the Fermi level (states/eV/cell): 6.47
Total energy (eV/atom): -5.505


(2)
This record from Alexandria via LeMat-Bulk describes an optimized crystal structure of Pm3Sn2Bi. The functional is PBE-GGA.

Lattice parameters (Å, degrees): 4.345 8.370 10.235 90.00 90.00 90.00
Positions (direct):
Pm (0.500, 0.187, 0.096)
Pm (0.500, 0.184, 0.717)
Pm (0.000, 0.334, 0.420)
Pm (0.500, 0.687, 0.904)
Pm (0.500, 0.684, 0.283)
Pm (0.000, 0.834, 0.580)
Sn (0.000, 0.960, 0.238)
Sn (0.500, 0.056, 0.427)
Sn (0.000, 0.460, 0.762)
Sn (0.500, 0.556, 0.573)
Bi (0.000, 0.981, 0.885)
Bi (0.000, 0.481, 0.115)

Summary:
Volume (A^3/atom): 31.02
Symmetry: Pmc2_1, No. 26
ΔE_f (eV per atom): -0.723
Density of states at the Fermi level (states/eV/cell): 8.74
Total energy (eV/atom): -5.079


(3)
This record from Alexandria via LeMat-Bulk describes an optimized crystal structure of PuPa2Rh. The functional is PBE-GGA.

Lattice parameters (Å, degrees): 4.934 4.934 4.934 60.00 60.00 60.00
Site moments in Bohr magnetons follow the coordinates.
Positions (direct):
Pa (0.250, 0.250, 0.250)  0.53
Pa (0.750, 0.750, 0.750)  0.53
Rh (0.000, 0.000, 0.000)  -0.04
Pu (0.500, 0.500, 0.500)  5.08

Summary:
Volume (A^3/atom): 21.24
Symmetry: Fm-3m, No. 225
ΔE_f (eV per atom): -0.262
E above lowest polymorph (eV per atom): 0.0711
Density of states at the Fermi level (states/eV/cell): 5.94
Total energy (eV/atom): -10.431


(4)
This record from Alexandria via LeMat-Bulk describes an optimized crystal structure of Ce2TaCd. The functional is PBE-GGA.

Lattice parameters (Å, degrees): 3.028 3.028 11.808 82.63 82.63 60.00
Positions (direct):
Cd (0.500, 0.500, 0.500)
Ce (0.082, 0.082, 0.754)
Ce (0.918, 0.918, 0.246)
Ta (0.000, 0.000, 0.000)

Summary:
Volume (A^3/atom): 23.18
Symmetry: R-3m, No. 166
ΔE_f (eV per atom): 0.306
Density of states at the Fermi level (states/eV/cell): 7.54
Total energy (eV/atom): -5.853


(5)
This record from Alexandria via LeMat-Bulk describes an optimized crystal structure of CaTc2Ru. The functional is PBE-GGA.

Lattice parameters (Å, degrees): 2.772 2.772 8.794 90.00 90.00 90.03
Positions (direct):
Ru (0.500, 0.500, 0.750)
Ca (0.500, 0.500, 0.250)
Tc (0.000, 0.000, 0.961)
Tc (0.000, 0.000, 0.539)

Summary:
Volume (A^3/atom): 16.89
Symmetry: P4/mmm, No. 123
ΔE_f (eV per atom): 0.454
E above lowest polymorph (eV per atom): 0.0924
Density of states at the Fermi level (states/eV/cell): 5.39
Total energy (eV/atom): -7.548


(6)
This record from Alexandria via LeMat-Bulk describes an optimized crystal structure of HoAlFe. The functional is PBE-GGA.

Lattice parameters (Å, degrees): 3.160 5.035 7.853 108.80 101.61 90.00
Site moments in Bohr magnetons follow the coordinates.
Positions (direct):
Ho (0.175, 0.675, 0.350)  -0.11
Ho (0.825, 0.325, 0.650)  -0.11
Al (0.599, 0.099, 0.198)  -0.03
Al (0.401, 0.901, 0.802)  -0.03
Fe (0.000, 0.723, 0.000)  1.67
Fe (0.000, 0.277, 0.000)  1.67

Summary:
Volume (A^3/atom): 19.26
Symmetry: C2/m, No. 12
ΔE_f (eV per atom): 0.017
Density of states at the Fermi level (states/eV/cell): 6.61
Total energy (eV/atom): -5.577